Here is a relaxed Ac2LaRu crystal from Alexandria. Energies are from PBE.

Computed properties:
volume = 36.47 Å³/atom
size of the total moment = 0.00 Bohr magnetons per cell
raw total energy = -5.603 eV per atom
DOS(E_F) = 4.38 states/eV/f.u.

The structure in POSCAR format:
```
Ac2LaRu
1.0
4.124 0.000 0.000
-2.062 3.572 0.000
0.000 0.000 29.710
Ac La Ru
6 3 3
Direct
0.000 0.000 0.223 Ac
0.000 0.000 0.777 Ac
0.333 0.667 0.444 Ac
0.333 0.667 0.889 Ac
0.667 0.333 0.111 Ac
0.667 0.333 0.556 Ac
0.000 0.000 0.000 La
0.333 0.667 0.667 La
0.667 0.333 0.333 La
0.000 0.000 0.500 Ru
0.333 0.667 0.167 Ru
0.667 0.333 0.833 Ru
```


Here is a relaxed AcLa3Ru crystal from Alexandria. Energies are from PBE.

Computed properties:
volume = 34.10 Å³/atom
size of the total moment = 0.00 Bohr magnetons per cell
raw total energy = -5.759 eV per atom
DOS(E_F) = 6.79 states/eV/f.u.

The structure in POSCAR format:
```
AcLa3Ru
1.0
7.573 0.000 0.000
0.000 8.848 0.000
-1.924 0.000 10.178
Ac La Ru
4 12 4
Direct
0.203 0.052 0.226 Ac
0.203 0.448 0.726 Ac
0.797 0.552 0.274 Ac
0.797 0.948 0.774 Ac
0.113 0.686 0.031 La
0.113 0.814 0.531 La
0.304 0.003 0.867 La
0.304 0.497 0.367 La
0.430 0.149 0.576 La
0.430 0.351 0.076 La
0.570 0.649 0.924 La
0.570 0.851 0.424 La
0.696 0.503 0.633 La
0.696 0.997 0.133 La
0.887 0.186 0.469 La
0.887 0.314 0.969 La
0.436 0.727 0.639 Ru
0.436 0.773 0.139 Ru
0.564 0.227 0.861 Ru
0.564 0.273 0.361 Ru
```


Here is a relaxed AcLa2Ru crystal from Alexandria. Energies are from PBE.

Computed properties:
volume = 32.29 Å³/atom
size of the total moment = 0.00 Bohr magnetons per cell
raw total energy = -6.028 eV per atom
DOS(E_F) = 4.51 states/eV/f.u.

The structure in POSCAR format:
```
AcLa2Ru
1.0
7.508 0.000 0.000
0.000 10.306 0.000
0.000 0.000 6.676
Ac La Ru
4 8 4
Direct
0.046 0.250 0.149 Ac
0.454 0.750 0.649 Ac
0.546 0.250 0.351 Ac
0.954 0.750 0.851 Ac
0.169 0.073 0.672 La
0.169 0.427 0.672 La
0.331 0.573 0.172 La
0.331 0.927 0.172 La
0.669 0.073 0.828 La
0.669 0.427 0.828 La
0.831 0.573 0.328 La
0.831 0.927 0.328 La
0.106 0.750 0.412 Ru
0.394 0.250 0.912 Ru
0.606 0.750 0.088 Ru
0.894 0.250 0.588 Ru
```


Here is a relaxed AcLaRu crystal from Alexandria. Energies are from PBE.

Computed properties:
volume = 34.62 Å³/atom
size of the total moment = 0.00 Bohr magnetons per cell
raw total energy = -6.312 eV per atom
DOS(E_F) = 0.75 states/eV/f.u.

The structure in POSCAR format:
```
AcLaRu
1.0
6.651 0.000 0.000
0.000 4.241 0.000
-0.078 0.000 7.364
Ac La Ru
2 2 2
Direct
0.236 0.250 0.089 Ac
0.764 0.750 0.911 Ac
0.222 0.750 0.582 La
0.778 0.250 0.418 La
0.008 0.250 0.743 Ru
0.992 0.750 0.257 Ru
```